1.
VASP calculation (PBE) on CeTm3Te after structural relaxation.

Formation energy without anion corrections: -2.2 eV/f.u.
Volume: 290 Å³/cell

a = 8.348 Å, b = 3.803 Å, c = 9.299 Å
α = 90.00°, β = 100.92°, γ = 90.00°
Space group P2_1/m (No. 11)
Unique sites:
Ce 0.145 0.250 0.015 x2
Tm 0.018 0.750 0.668 x2
Tm 0.327 0.750 0.338 x2
Tm 0.430 0.750 0.853 x2
Te 0.286 0.250 0.593 x2

***

2.
VASP calculation (PBE) on BaNb2Ni after structural relaxation.

Offset from the most stable computed form: 0 meV per atom
E_form: 0.99 eV/atom
Volume: 455 Å³/cell

a = 5.090 Å, b = 5.090 Å, c = 17.558 Å
α = 90.00°, β = 90.00°, γ = 90.00°
Space group I4_1/amd (No. 141, origin choice 2)
Unique sites:
Ba 0.000 0.250 0.375 x4
Nb 0.000 0.000 0.000 x8
Ni 0.000 0.250 0.875 x4

***

3.
VASP calculation (PBE) on Rb2ZnHgRu after structural relaxation.

E_form: 1.03 eV/atom
Volume: 214 Å³/cell

a = 6.534 Å, b = 6.534 Å, c = 5.022 Å
α = 90.00°, β = 90.00°, γ = 90.00°
Space group P4/mmm (No. 123)
Unique sites:
Rb 0.000 0.500 0.000 x2
Zn 0.000 0.000 0.000 x1
Hg 0.000 0.000 0.500 x1
Ru 0.500 0.500 0.500 x1

***

4.
VASP calculation (PBE) on AgIrBr2 after structural relaxation.

Formation energy without anion corrections: 2.8 eV/f.u.
Offset from the most stable computed form: 518 meV per atom
Volume: 94 Å³/cell

a = 3.209 Å, b = 4.240 Å, c = 6.926 Å
α = 90.00°, β = 90.00°, γ = 90.00°
Space group Pmmm (No. 47)
Unique sites:
Ag 0.000 0.000 0.000 x1
Ir 0.500 0.000 0.500 x1
Br 0.000 0.500 0.500 x1
Br 0.500 0.500 0.000 x1